Below is a relaxed structure of NaLa2ZnH, with properties calculated at the GGA-PBE level.

extended XYZ file:
```
5
Lattice="5.8438 0.0000 0.0000 0.0000 4.6802 0.0000 0.0000 0.0000 5.8438" Properties=species:S:1:pos:R:3 pbc="T T T"
Na 0.0000 0.0000 0.0000
Zn 0.0000 2.3401 0.0000
H 2.9219 2.3401 2.9219
La 0.0000 0.0000 2.9219
La 2.9219 0.0000 0.0000
```

Values from the calculation:
DOS at the Fermi energy	9.81	states/eV/f.u.
space group	P4/mmm (123)
crystal system	tetragonal
final energy	-10.88	eV for the cell shown